# 1
# Zr3P2H

A geometry-optimized Zr3P2H structure (PBE-GGA, Alexandria).

## Properties
Space-group type   Pnma (62)
Calculated volume   386 Å³ per cell
E   -7.758 eV/atom
Offset from the most stable computed form   0.0 kJ/mol of atoms

a b c (Å): 7.3532 3.6515 14.3864
angles (deg): 90.00 90.00 90.00
Sites, in units of the cell vectors:
Zr1 0.0090 0.2500 0.0982
Zr2 0.1198 0.7500 0.4272
Zr3 0.1927 0.2500 0.7286
Zr4 0.3073 0.7500 0.2286
Zr5 0.3802 0.2500 0.9272
Zr6 0.4910 0.7500 0.5982
Zr7 0.5090 0.2500 0.4018
Zr8 0.6198 0.7500 0.0728
Zr9 0.6927 0.2500 0.7714
Zr10 0.8073 0.7500 0.2714
Zr11 0.8802 0.2500 0.5728
Zr12 0.9910 0.7500 0.9018
P1 0.0680 0.2500 0.2854
P2 0.2487 0.2500 0.5436
P3 0.2513 0.7500 0.0436
P4 0.4320 0.7500 0.7854
P5 0.5680 0.2500 0.2146
P6 0.7487 0.2500 0.9564
P7 0.7513 0.7500 0.4564
P8 0.9320 0.7500 0.7146
H1 0.1239 0.2500 0.8682
H2 0.3761 0.7500 0.3682
H3 0.6239 0.2500 0.6318
H4 0.8761 0.7500 0.1318

---

# 2
# VB2Mo2Ru5

A geometry-optimized VB2Mo2Ru5 structure (PBE-GGA, Alexandria).

## Properties
Space-group type   P4/mbm (127)
Calculated volume   253 Å³ per cell
E   -9.305 eV/atom
Energy relative to the elements   -2.53 eV per formula unit

a b c (Å): 9.3457 9.3457 2.9007
angles (deg): 90.00 90.00 90.00
Sites, in units of the cell vectors:
V1 0.0000 0.0000 0.0000
V2 0.5000 0.5000 0.0000
B1 0.1243 0.3757 0.0000
B2 0.3757 0.8757 0.0000
B3 0.6243 0.1243 0.0000
B4 0.8757 0.6243 0.0000
Mo1 0.1787 0.6787 0.0000
Mo2 0.3213 0.1787 0.0000
Mo3 0.6787 0.8213 0.0000
Mo4 0.8213 0.3213 0.0000
Ru1 0.0000 0.5000 0.5000
Ru2 0.0689 0.2129 0.5000
Ru3 0.2129 0.9311 0.5000
Ru4 0.2871 0.4311 0.5000
Ru5 0.4311 0.7129 0.5000
Ru6 0.5000 0.0000 0.5000
Ru7 0.5689 0.2871 0.5000
Ru8 0.7129 0.5689 0.5000
Ru9 0.7871 0.0689 0.5000
Ru10 0.9311 0.7871 0.5000

---

Q: Number 1 is which compound?
A: Zr3P2H